No. 1
# Li2MgCoF8

An optimized crystal structure of Li2MgCoF8 (PBE+U, Alexandria). Values from VASP.

As for the symmetry: P2/m. The spin magnetization is 1.06 Bohr magnetons per cell. The calculation puts the total energy at -4.64 eV per atom.

Quantum ESPRESSO input file:
```
&SYSTEM
  ibrav = 0, nat = 12, ntyp = 4
/
ATOMIC_SPECIES
F 19.00 F.upf
Li 6.94 Li.upf
Mg 24.30 Mg.upf
Co 58.93 Co.upf
CELL_PARAMETERS angstrom
-4.639 -0.259 0.481
0.156 -3.585 -2.962
0.699 -3.833 4.677
ATOMIC_POSITIONS angstrom
F -3.230 -3.858 3.488
F -3.620 -1.724 0.884
F -3.219 -2.775 -1.793
F -0.165 -5.953 1.312
F -1.265 -1.069 -0.687
F -0.554 -3.819 -1.292
F -2.793 -4.621 0.591
F -0.991 -3.056 1.605
Li -2.055 -2.948 0.011
Li -1.730 -4.730 2.185
Mg 0.350 -1.917 2.338
Co 0.000 0.000 0.000
```


No. 2
# LiMgCoF6

An optimized crystal structure of LiMgCoF6 (PBE+U, Alexandria). Values from VASP.

As for the symmetry: P4_2nm. The spin magnetization is 7.93 Bohr magnetons per cell. The calculation puts the total energy at -4.92 eV per atom.

Quantum ESPRESSO input file:
```
&SYSTEM
  ibrav = 0, nat = 18, ntyp = 4
/
ATOMIC_SPECIES
Li 6.94 Li.upf
Co 58.93 Co.upf
F 19.00 F.upf
Mg 24.30 Mg.upf
CELL_PARAMETERS angstrom
-3.361 3.135 -0.724
0.323 -0.712 -4.586
-6.338 -6.659 0.587
ATOMIC_POSITIONS angstrom
Li -4.249 -4.464 0.394
Li -2.598 0.077 -2.555
Co -4.688 -2.118 -2.362
Co -6.338 -6.659 0.587
F -4.280 -0.580 -3.505
F -5.735 -5.552 -3.329
F -7.963 -3.225 -0.993
F -3.079 -1.538 -1.405
F -5.129 -3.662 -1.245
F -5.723 -0.977 -1.249
F -7.187 -5.930 -0.949
F -1.411 -1.049 -3.748
F -3.677 1.317 -1.372
F -8.470 -4.906 -3.192
F -6.298 -2.729 -3.288
F -3.595 -3.199 -3.480
Mg -2.113 -2.220 0.196
Mg -6.801 -4.338 -2.166
```